Compound: CsRb2InFe
Source: the Alexandria database
Functional: PBE-GGA
Structure: optimized geometry

Geometry as extended XYZ:
```
5
Lattice="7.671 0.000 0.000 0.000 7.671 0.000 0.000 0.000 6.648" Properties=species:S:1:pos:R:3 pbc="T T T"
In 0.000 0.000 3.324
Fe 3.835 3.835 3.324
Rb 3.835 0.000 0.000
Cs 0.000 0.000 0.000
Rb 0.000 3.835 0.000
```

Results
Its symmetry is P4/mmm, No. 123.

Compound: CsFeIr
Source: the Alexandria database
Functional: PBE-GGA
Structure: optimized geometry

Geometry as extended XYZ:
```
12
Lattice="-1.475 -10.053 4.064 4.237 -0.336 0.707 -1.044 3.320 7.834" Properties=species:S:1:pos:R:3 pbc="T T T"
Ir 1.732 -3.648 7.585
Fe -1.267 -7.049 10.811
Cs -0.624 -6.476 7.233
Fe 2.986 -0.020 1.794
Ir -0.013 -3.421 5.020
Ir 2.196 2.247 7.602
Cs 0.609 -3.025 1.482
Fe 2.035 -4.368 5.425
Cs 1.110 -4.044 11.123
Ir -0.478 -9.316 5.003
Fe -0.316 -2.700 7.180
Cs 2.343 -0.593 5.372
```

Results
As for the energy above the most stable polymorph in this dataset: 24 meV/atom. Its symmetry is Pnma, No. 62.

Compound: CsFeIr2
Source: the Alexandria database
Functional: PBE-GGA
Structure: optimized geometry

Geometry as extended XYZ:
```
4
Lattice="-1.544 -4.233 1.508 0.961 -1.441 4.425 -3.480 -0.248 3.226" Properties=species:S:1:pos:R:3 pbc="T T T"
Ir -1.016 -1.481 2.290
Cs -2.032 -2.962 4.579
Ir -3.047 -4.442 6.869
Fe 0.000 0.000 0.000
```

Results
Its symmetry is Fm-3m, No. 225.

Compound: CsFeIr
Source: the Alexandria database
Functional: PBE-GGA
Structure: optimized geometry

Geometry as extended XYZ:
```
12
Lattice="8.271 0.000 0.000 0.000 4.143 0.000 0.000 0.000 10.736" Properties=species:S:1:pos:R:3 pbc="T T T"
Cs 0.013 1.036 8.680
Fe 5.294 3.107 10.261
Fe 2.977 1.036 0.475
Ir 3.001 3.107 10.257
Fe 1.159 3.107 5.843
Cs 4.149 1.036 7.423
Ir 5.270 1.036 0.479
Cs 4.122 3.107 3.312
Ir 1.135 1.036 4.889
Cs 8.258 3.107 2.056
Ir 7.136 3.107 5.847
Fe 7.113 1.036 4.893
```

Results
As for the energy above the most stable polymorph in this dataset: 0 meV/atom. Its symmetry is Pnma, No. 62.

Compound: CsKFeIr2
Source: the Alexandria database
Functional: PBE-GGA
Structure: optimized geometry

Geometry as extended XYZ:
```
5
Lattice="-2.833 0.666 -4.386 -1.773 -4.941 0.394 -4.085 1.697 2.897" Properties=species:S:1:pos:R:3 pbc="T T T"
Fe -2.043 0.848 1.448
K 0.000 0.000 0.000
Cs -4.346 -1.289 -0.548
Ir -0.886 -2.471 0.197
Ir -1.417 0.333 -2.193
```

Results
Its symmetry is P4/mmm, No. 123.

Compound: CsFe2IrN
Source: the Alexandria database
Functional: PBE-GGA
Structure: optimized geometry

Geometry as extended XYZ:
```
5
Lattice="4.995 0.000 0.000 0.000 4.995 0.000 0.000 0.000 5.033" Properties=species:S:1:pos:R:3 pbc="T T T"
Cs 0.000 0.000 0.000
N 2.498 2.498 2.517
Fe 2.498 0.000 0.000
Ir 0.000 0.000 2.517
Fe 0.000 2.498 0.000
```

Results
As for the energy relative to the elements, uncorrected: 84.24 kcal/mol of atoms. Its symmetry is P4/mmm, No. 123.

| no. | calculated total energy (eV/atom) |
| --- | --- |
| 1 | -1.535 |
| 2 | -5.209 |
| 3 | -5.130 |
| 4 | -5.233 |
| 5 | -3.053 |
| 6 | -3.340 |